[1]
## Cs6K12Rb (GGA-PBE)

Data for crystalline Cs6K12Rb at its relaxed geometry.

a b c (Å): 12.162 12.162 12.162
angles (deg): 101.08 101.08 101.08
Sites, in units of the cell vectors:
Cs 0.161 0.163 0.430
Cs 0.837 0.570 0.839
Cs 0.570 0.839 0.837
Cs 0.839 0.837 0.570
Cs 0.163 0.430 0.161
Cs 0.430 0.161 0.163
K 0.602 0.173 0.603
K 0.173 0.603 0.602
K 0.603 0.602 0.173
K 0.398 0.827 0.397
K 0.827 0.397 0.398
K 0.397 0.398 0.827
K 0.258 0.001 0.742
K 0.258 0.742 0.999
K 0.999 0.258 0.742
K 0.742 0.999 0.258
K 0.742 0.258 0.001
K 0.001 0.742 0.258
Rb 0.000 0.000 0.000

Output
DFT formation energy	0.6	kcal/mol of atoms
DFT total energy	-0.99	eV per atom
symmetry	R-3

=====

[2]
## RbPuAlO6 (GGA-PBE)

Data for crystalline RbPuAlO6 at its relaxed geometry.

a b c (Å): 5.234 5.234 6.413
angles (deg): 90.00 90.00 60.00
Sites, in units of the cell vectors:
Rb 0.000 0.000 0.000
Pu 0.667 0.667 0.500
Al 0.333 0.333 0.500
O 0.008 0.379 0.331
O 0.379 0.008 0.669
O 0.613 0.379 0.669
O 0.008 0.613 0.669
O 0.379 0.613 0.331
O 0.613 0.008 0.331

Output
DFT total energy	-7.61	eV per atom
symmetry	P312

=====

[3]
## NaLa6Te8 (GGA-PBE)

Data for crystalline NaLa6Te8 at its relaxed geometry.

a b c (Å): 8.507 8.507 8.507
angles (deg): 68.82 68.82 68.82
Sites, in units of the cell vectors:
Na 0.000 0.000 0.000
La 0.074 0.458 0.700
La 0.300 0.926 0.542
La 0.542 0.300 0.926
La 0.458 0.700 0.074
La 0.700 0.074 0.458
La 0.926 0.542 0.300
Te 0.191 0.636 0.904
Te 0.096 0.809 0.364
Te 0.364 0.096 0.809
Te 0.668 0.668 0.668
Te 0.332 0.332 0.332
Te 0.636 0.904 0.191
Te 0.904 0.191 0.636
Te 0.809 0.364 0.096

Output
DFT total energy	-5.23	eV per atom
symmetry	R-3

=====

[4]
## AsRh3C (GGA-PBE)

Data for crystalline AsRh3C at its relaxed geometry.

a b c (Å): 4.529 4.529 4.529
angles (deg): 90.00 90.00 90.00
Sites, in units of the cell vectors:
As 0.000 0.000 0.000
Rh 0.000 0.500 0.000
Rh 0.000 0.000 0.500
Rh 0.500 0.000 0.000
C 0.500 0.500 0.500

Output
DFT formation energy	42.1	kcal/mol of atoms
DFT total energy	-5.36	eV per atom
polymorph energy (0 for the lowest one)	1.5829	eV/atom
symmetry	Pm-3m

=====

Which of these has the lowest DFT total energy?
RbPuAlO6

=====

The lowest DFT total energy belongs to which entry?
RbPuAlO6

=====

What did the first record say?
## Cs6K12Rb (GGA-PBE)

Data for crystalline Cs6K12Rb at its relaxed geometry.

a b c (Å): 12.162 12.162 12.162
angles (deg): 101.08 101.08 101.08
Sites, in units of the cell vectors:
Cs 0.161 0.163 0.430
Cs 0.837 0.570 0.839
Cs 0.570 0.839 0.837
Cs 0.839 0.837 0.570
Cs 0.163 0.430 0.161
Cs 0.430 0.161 0.163
K 0.602 0.173 0.603
K 0.173 0.603 0.602
K 0.603 0.602 0.173
K 0.398 0.827 0.397
K 0.827 0.397 0.398
K 0.397 0.398 0.827
K 0.258 0.001 0.742
K 0.258 0.742 0.999
K 0.999 0.258 0.742
K 0.742 0.999 0.258
K 0.742 0.258 0.001
K 0.001 0.742 0.258
Rb 0.000 0.000 0.000

Output
DFT formation energy	0.6	kcal/mol of atoms
DFT total energy	-0.99	eV per atom
symmetry	R-3

=====

What is the DFT total energy in the second record?
-7.61 eV per atom